w.
This record from Alexandria describes an optimized crystal structure of Zr2AuBr. The functional is GGA-PBE.

a b c (Å): 3.2018 4.0632 6.4751
angles (deg): 90.00 90.00 90.00
Positions (direct):
Zr: 0.0000 0.0000 0.2298
Zr: 0.0000 0.0000 0.7702
Au: 0.5000 0.5000 0.0000
Br: 0.5000 0.5000 0.5000

x.
This record from Alexandria describes an optimized crystal structure of Zr2AuBr. The functional is GGA-PBE.

a b c (Å): 3.2616 5.2517 5.1641
angles (deg): 90.00 101.50 90.00
Positions (direct):
Zr: 0.0000 0.0000 0.0000
Zr: 0.2977 0.5000 0.5582
Au: 0.6530 0.0000 0.4591
Br: 0.9592 0.5000 0.0001

Pick x: it beats the second-best structure by 87 meV per atom.

w.
This record from Alexandria describes an optimized crystal structure of ZrAuBr3. The functional is GGA-PBE.

a b c (Å): 5.3122 5.3122 5.3122
angles (deg): 90.00 90.00 90.00
Positions (direct):
Zr: 0.0000 0.0000 0.0000
Au: 0.5000 0.5000 0.5000
Br: 0.0000 0.0000 0.5000
Br: 0.0000 0.5000 0.0000
Br: 0.5000 0.0000 0.0000

x.
This record from Alexandria describes an optimized crystal structure of ZrAuBr3. The functional is GGA-PBE.

a b c (Å): 5.3406 5.3406 5.3406
angles (deg): 90.00 90.00 90.00
Positions (direct):
Zr: 0.0000 0.0000 0.0000
Au: 0.5000 0.5000 0.5000
Br: 0.0000 0.5000 0.5000
Br: 0.5000 0.0000 0.5000
Br: 0.5000 0.5000 0.0000

Pick w: it beats the second-best structure by 753 meV per atom.

w.
This record from Alexandria describes an optimized crystal structure of Au2C. The functional is GGA-PBE.

a b c (Å): 6.3979 6.3979 2.9771
angles (deg): 90.00 90.00 113.19
Positions (direct):
Au: 0.0000 0.0000 0.0000
Au: 0.2174 0.7826 0.5000
Au: 0.5000 0.5000 0.5000
Au: 0.7826 0.2174 0.5000
C: 0.3570 0.6430 0.0000
C: 0.6430 0.3570 0.0000

x.
This record from Alexandria describes an optimized crystal structure of Au2C. The functional is GGA-PBE.

a b c (Å): 3.0715 3.0715 5.7954
angles (deg): 90.00 90.00 120.00
Positions (direct):
Au: 0.0000 0.0000 0.2430
Au: 0.0000 0.0000 0.7570
C: 0.3333 0.6667 0.5000

y.
This record from Alexandria describes an optimized crystal structure of Au2C. The functional is GGA-PBE.

a b c (Å): 6.0108 6.0108 6.2305
angles (deg): 116.13 116.13 28.59
Positions (direct):
Au: 0.0000 0.0000 0.0000
Au: 0.0147 0.0147 0.5141
Au: 0.2887 0.2887 0.1617
Au: 0.7508 0.7508 0.5726
C: 0.3404 0.3404 0.8784
C: 0.6537 0.6537 0.1900

Pick y: it beats the second-best structure by 155 meV per atom.

w.
This record from Alexandria describes an optimized crystal structure of AuC. The functional is GGA-PBE.

a b c (Å): 5.8175 5.8175 3.1140
angles (deg): 90.00 90.00 148.76
Positions (direct):
Au: 0.1327 0.8673 0.7500
Au: 0.8673 0.1327 0.2500
C: 0.3464 0.6536 0.7500
C: 0.6536 0.3464 0.2500

x.
This record from Alexandria describes an optimized crystal structure of AuC. The functional is GGA-PBE.

a b c (Å): 2.9944 2.9944 11.2755
angles (deg): 90.00 90.00 128.45
Positions (direct):
Au: 0.2500 0.7500 0.8797
Au: 0.7500 0.2500 0.1203
C: 0.2500 0.7500 0.5000
C: 0.7500 0.2500 0.5000

Pick x: it beats the second-best structure by 1312 meV per atom.

w.
This record from Alexandria describes an optimized crystal structure of AuC. The functional is GGA-PBE.

a b c (Å): 4.8675 4.8675 6.6979
angles (deg): 90.00 90.00 80.52
Positions (direct):
Au: 0.1858 0.2090 0.2500
Au: 0.2090 0.1858 0.7500
Au: 0.7910 0.8142 0.2500
Au: 0.8142 0.7910 0.7500
C: 0.2290 0.5990 0.7500
C: 0.4010 0.7710 0.7500
C: 0.5990 0.2290 0.2500
C: 0.7710 0.4010 0.2500

x.
This record from Alexandria describes an optimized crystal structure of AuC. The functional is GGA-PBE.

a b c (Å): 5.6209 5.6209 8.4310
angles (deg): 124.85 124.85 27.38
Positions (direct):
Au: 0.0000 0.0000 0.0000
Au: 0.1113 0.1113 0.5005
Au: 0.3756 0.3756 0.5067
C: 0.3186 0.3186 0.9946
C: 0.6314 0.6314 0.9991
C: 0.7553 0.7553 0.9964

y.
This record from Alexandria describes an optimized crystal structure of AuC. The functional is GGA-PBE.

a b c (Å): 2.9417 2.9417 2.9417
angles (deg): 90.00 90.00 90.00
Positions (direct):
Au: 0.0000 0.0000 0.0000
C: 0.5000 0.5000 0.5000

Pick w: it beats the second-best structure by 74 meV per atom.

w.
This record from Alexandria describes an optimized crystal structure of AuC. The functional is GGA-PBE.

a b c (Å): 5.9808 3.0050 6.4253
angles (deg): 90.00 90.00 90.00
Positions (direct):
Au: 0.1824 0.2500 0.2106
Au: 0.3176 0.7500 0.7106
Au: 0.6824 0.2500 0.2894
Au: 0.8176 0.7500 0.7894
C: 0.1286 0.2500 0.8619
C: 0.3714 0.7500 0.3619
C: 0.6286 0.2500 0.6381
C: 0.8714 0.7500 0.1381

x.
This record from Alexandria describes an optimized crystal structure of AuC. The functional is GGA-PBE.

a b c (Å): 3.1971 3.1971 3.9010
angles (deg): 90.00 90.00 120.00
Positions (direct):
Au: 0.0000 0.0000 0.0000
C: 0.0000 0.0000 0.5000

Pick w: it beats the second-best structure by 168 meV per atom.

w.
This record from Alexandria describes an optimized crystal structure of AuC3. The functional is GGA-PBE.

a b c (Å): 4.8674 4.8674 3.1676
angles (deg): 90.00 90.00 113.72
Positions (direct):
Au: 0.0000 0.0000 0.0000
C: 0.2557 0.2557 0.5000
C: 0.5000 0.5000 0.5000
C: 0.7443 0.7443 0.5000

x.
This record from Alexandria describes an optimized crystal structure of AuC3. The functional is GGA-PBE.

a b c (Å): 2.5416 6.2608 6.4645
angles (deg): 90.00 90.00 90.00
Positions (direct):
Au: 0.2500 0.2500 0.0805
Au: 0.7500 0.7500 0.9195
C: 0.2500 0.5477 0.5277
C: 0.2500 0.7500 0.6376
C: 0.2500 0.9523 0.5277
C: 0.7500 0.0477 0.4723
C: 0.7500 0.2500 0.3624
C: 0.7500 0.4523 0.4723

Pick x: it beats the second-best structure by 402 meV per atom.

w.
This record from Alexandria describes an optimized crystal structure of Au3C5. The functional is GGA-PBE.

a b c (Å): 5.2736 5.2736 8.0065
angles (deg): 90.00 90.00 137.17
Positions (direct):
Au: 0.0000 0.0000 0.0000
Au: 0.3383 0.6617 0.5000
Au: 0.6617 0.3383 0.5000
C: 0.0000 0.5000 0.0000
C: 0.1642 0.1642 0.5000
C: 0.5000 0.0000 0.0000
C: 0.5000 0.5000 0.0000
C: 0.8358 0.8358 0.5000

x.
This record from Alexandria describes an optimized crystal structure of Au3C5. The functional is GGA-PBE.

a b c (Å): 3.2621 3.2621 9.9918
angles (deg): 90.00 90.00 90.00
Positions (direct):
Au: 0.0000 0.0000 0.0000
Au: 0.5000 0.5000 0.2951
Au: 0.5000 0.5000 0.7049
C: 0.0000 0.0000 0.3676
C: 0.0000 0.0000 0.5000
C: 0.0000 0.0000 0.6324
C: 0.5000 0.5000 0.0658
C: 0.5000 0.5000 0.9342

y.
This record from Alexandria describes an optimized crystal structure of Au3C5. The functional is GGA-PBE.

a b c (Å): 7.2720 7.2720 6.1465
angles (deg): 106.91 106.91 67.78
Positions (direct):
Au: 0.0000 0.0000 0.0000
Au: 0.0708 0.6756 0.1912
Au: 0.0757 0.4383 0.6738
Au: 0.4383 0.0757 0.6738
Au: 0.5248 0.5248 0.2898
Au: 0.6756 0.0708 0.1912
C: 0.2075 0.8260 0.7960
C: 0.2180 0.6264 0.6697
C: 0.2943 0.6786 0.4962
C: 0.3112 0.8694 0.6568
C: 0.6264 0.2180 0.6697
C: 0.6565 0.6565 0.1548
C: 0.6786 0.2943 0.4962
C: 0.7542 0.7542 0.1194
C: 0.8260 0.2075 0.7960
C: 0.8694 0.3112 0.6568

Pick y: it beats the second-best structure by 247 meV per atom.

w.
This record from Alexandria describes an optimized crystal structure of Au4C3. The functional is GGA-PBE.

a b c (Å): 11.5575 11.5575 11.5575
angles (deg): 164.91 164.91 21.41
Positions (direct):
Au: 0.0598 0.0598 0.0000
Au: 0.3216 0.3216 0.0000
Au: 0.6784 0.6784 0.0000
Au: 0.9402 0.9402 0.0000
C: 0.1531 0.1531 0.0000
C: 0.5000 0.5000 0.0000
C: 0.8469 0.8469 0.0000

x.
This record from Alexandria describes an optimized crystal structure of Au4C3. The functional is GGA-PBE.

a b c (Å): 4.7216 4.7216 4.7216
angles (deg): 90.00 90.00 90.00
Positions (direct):
Au: 0.2231 0.2231 0.7769
Au: 0.2231 0.7769 0.2231
Au: 0.7769 0.2231 0.2231
Au: 0.7769 0.7769 0.7769
C: 0.0000 0.5000 0.5000
C: 0.5000 0.0000 0.5000
C: 0.5000 0.5000 0.0000

y.
This record from Alexandria describes an optimized crystal structure of Au4C3. The functional is GGA-PBE.

a b c (Å): 4.5940 4.5940 4.5940
angles (deg): 90.00 90.00 90.00
Positions (direct):
Au: 0.0000 0.0000 0.0000
Au: 0.0000 0.5000 0.5000
Au: 0.5000 0.0000 0.5000
Au: 0.5000 0.5000 0.0000
C: 0.0000 0.0000 0.5000
C: 0.0000 0.5000 0.0000
C: 0.5000 0.0000 0.0000

z.
This record from Alexandria describes an optimized crystal structure of Au4C3. The functional is GGA-PBE.

a b c (Å): 4.3733 4.3733 6.1948
angles (deg): 90.00 90.00 120.00
Positions (direct):
Au: 0.0000 0.0000 0.2393
Au: 0.0000 0.0000 0.7607
Au: 0.3333 0.6667 0.5000
Au: 0.6667 0.3333 0.5000
C: 0.0000 0.5000 0.0000
C: 0.5000 0.0000 0.0000
C: 0.5000 0.5000 0.0000

Pick x: it beats the second-best structure by 190 meV per atom.

w.
This record from Alexandria describes an optimized crystal structure of Au4C5. The functional is GGA-PBE.

a b c (Å): 6.4375 6.4375 6.4920
angles (deg): 90.00 90.00 120.00
Positions (direct):
Au: 0.0000 0.0000 0.0000
Au: 0.0000 0.0000 0.5000
Au: 0.0000 0.4668 0.2500
Au: 0.0000 0.5332 0.7500
Au: 0.4668 0.0000 0.2500
Au: 0.4668 0.4668 0.7500
Au: 0.5332 0.0000 0.7500
Au: 0.5332 0.5332 0.2500
C: 0.0000 0.2116 0.7500
C: 0.0000 0.7884 0.2500
C: 0.2116 0.0000 0.7500
C: 0.2116 0.2116 0.2500
C: 0.3333 0.6667 0.0000
C: 0.3333 0.6667 0.5000
C: 0.6667 0.3333 0.0000
C: 0.6667 0.3333 0.5000
C: 0.7884 0.0000 0.2500
C: 0.7884 0.7884 0.7500

x.
This record from Alexandria describes an optimized crystal structure of Au4C5. The functional is GGA-PBE.

a b c (Å): 7.1751 7.1751 7.1751
angles (deg): 91.92 91.92 158.91
Positions (direct):
Au: 0.0000 0.2251 0.2251
Au: 0.0000 0.7749 0.7749
Au: 0.2251 0.0000 0.2251
Au: 0.7749 0.0000 0.7749
C: 0.0000 0.0000 0.0000
C: 0.2267 0.2267 0.4533
C: 0.2267 0.7733 0.0000
C: 0.7733 0.2267 0.0000
C: 0.7733 0.7733 0.5467

Pick x: it beats the second-best structure by 1125 meV per atom.